GGA-PBE NdZn3Ge, relaxed; energy = -3.08 eV/atom; volume = 190 Å³ per cell; E_form = -0.44 eV per atom; space group = No. 63
1.0
2.9814 -5.4111 0.0000
2.9814 5.4111 0.0000
0.0000 0.0000 5.8795
Nd Zn Ge
2 6 2
Direct
0.2483 0.7517 0.7500
0.7517 0.2483 0.2500
0.2528 0.2528 0.0000
0.2528 0.2528 0.5000
0.3685 0.6315 0.2500
0.6315 0.3685 0.7500
0.7472 0.7472 0.0000
0.7472 0.7472 0.5000
0.1405 0.8595 0.2500
0.8595 0.1405 0.7500